{"formula": "Rb2U2Te6Au", "functional": "PBE", "state": "optimized geometry", "m_tot_mub_per_cell": 2.988, "e_form_raw_ev_per_atom": -0.637, "energy_ev_per_cell": -53.65, "lattice": [[-8.030, -0.170, -0.219], [4.912, -0.086, -6.357], [1.206, -8.693, 2.423]], "species": ["Rb", "Rb", "U", "U", "Te", "Te", "Te", "Te", "Te", "Te", "Au"], "frac_coords": [[0.850, 0.150, 0.000], [0.150, 0.850, 0.000], [0.337, 0.663, 0.500], [0.663, 0.337, 0.500], [0.750, 0.750, 0.673], [0.053, 0.432, 0.701], [0.250, 0.250, 0.327], [0.432, 0.053, 0.701], [0.947, 0.568, 0.299], [0.568, 0.947, 0.299], [0.000, 0.000, 0.500]]}

{"formula": "Rb3U2Te6Au", "functional": "PBE", "state": "optimized geometry", "m_tot_mub_per_cell": 4.000, "e_form_raw_ev_per_atom": -0.698, "energy_ev_per_cell": -55.98, "lattice": [[7.803, 0.017, 0.003], [-3.885, 6.767, 0.003], [-1.303, -2.256, 8.512]], "species": ["Rb", "Rb", "Rb", "U", "U", "Te", "Te", "Te", "Te", "Te", "Te", "Au"], "frac_coords": [[0.163, 0.837, 0.500], [0.837, 0.163, 0.500], [0.500, 0.500, 0.500], [0.333, 0.667, 0.000], [0.667, 0.333, 0.000], [0.934, 0.598, 0.804], [0.727, 0.727, 0.196], [0.066, 0.402, 0.196], [0.598, 0.934, 0.804], [0.273, 0.273, 0.804], [0.402, 0.066, 0.196], [0.000, 0.000, 0.000]]}

{"formula": "RbU2Te4Au", "functional": "PBE", "state": "optimized geometry", "m_tot_mub_per_cell": 12.011, "e_form_raw_ev_per_atom": -0.602, "energy_ev_per_cell": -88.41, "lattice": [[-3.949, -1.062, -1.848], [4.282, -6.773, 0.189], [-5.781, -3.259, 14.226]], "species": ["Rb", "Rb", "U", "U", "U", "U", "Te", "Te", "Te", "Te", "Te", "Te", "Te", "Te", "Au", "Au"], "frac_coords": [[0.122, 0.244, 0.750], [0.878, 0.756, 0.250], [0.370, 0.739, 0.566], [0.630, 0.261, 0.066], [0.630, 0.261, 0.434], [0.370, 0.739, 0.934], [0.266, 0.532, 0.107], [0.734, 0.468, 0.607], [0.734, 0.468, 0.893], [0.266, 0.532, 0.393], [0.000, 0.000, 0.500], [0.000, 0.000, 0.000], [0.446, 0.893, 0.750], [0.554, 0.107, 0.250], [0.844, 0.688, 0.750], [0.156, 0.312, 0.250]]}

{"formula": "RbTeWAu2", "functional": "PBE", "state": "optimized geometry", "m_tot_mub_per_cell": 4.475, "e_form_raw_ev_per_atom": 2.288, "energy_ev_per_cell": -12.18, "lattice": [[-0.820, -2.710, -4.690], [-4.110, -3.735, 2.876], [-4.047, 3.459, -1.291]], "species": ["Te", "Au", "Au", "Rb", "W"], "frac_coords": [[0.500, 0.500, 0.500], [0.000, 0.000, 0.500], [0.500, 0.000, 0.000], [0.000, 0.000, 0.000], [0.000, 0.500, 0.000]]}

{"formula": "Rb2YTe4Au2", "functional": "PBE", "state": "optimized geometry", "m_tot_mub_per_cell": 0.000, "e_form_raw_ev_per_atom": -0.825, "energy_ev_per_cell": -34.94, "lattice": [[4.416, 0.000, 0.000], [0.000, 8.818, 0.568], [-2.208, -2.983, 7.608]], "species": ["Rb", "Rb", "Y", "Te", "Te", "Te", "Te", "Au", "Au"], "frac_coords": [[0.133, 0.575, 0.266], [0.867, 0.425, 0.734], [0.000, 0.000, 0.000], [0.198, 0.183, 0.395], [0.802, 0.817, 0.605], [0.508, 0.756, 0.016], [0.492, 0.244, 0.984], [0.668, 0.979, 0.335], [0.332, 0.021, 0.665]]}

{"formula": "RbYTe2Au", "functional": "PBE", "state": "optimized geometry", "m_tot_mub_per_cell": 0.000, "e_form_raw_ev_per_atom": -0.879, "energy_ev_per_cell": -42.78, "lattice": [[4.861, 0.000, 0.000], [0.000, 8.691, 0.885], [0.000, -1.753, 8.389]], "species": ["Rb", "Rb", "Y", "Y", "Te", "Te", "Te", "Te", "Au", "Au"], "frac_coords": [[0.115, 0.500, 0.750], [0.885, 0.500, 0.250], [0.497, 0.000, 0.250], [0.503, 0.000, 0.750], [0.637, 0.759, 0.976], [0.637, 0.241, 0.524], [0.363, 0.759, 0.476], [0.363, 0.241, 0.024], [0.000, 0.000, 0.000], [0.000, 0.000, 0.500]]}

{"formula": "Rb2ZrTe4Au2", "functional": "PBE", "state": "optimized geometry", "m_tot_mub_per_cell": 0.000, "e_form_raw_ev_per_atom": -0.680, "energy_ev_per_cell": -35.72, "lattice": [[4.342, 0.000, 0.000], [0.000, 8.699, 0.442], [-2.171, -3.051, 7.526]], "species": ["Rb", "Rb", "Zr", "Te", "Te", "Te", "Te", "Au", "Au"], "frac_coords": [[0.135, 0.583, 0.269], [0.865, 0.417, 0.731], [0.000, 0.000, 0.000], [0.188, 0.192, 0.376], [0.812, 0.808, 0.624], [0.511, 0.772, 0.022], [0.489, 0.228, 0.978], [0.683, 0.981, 0.366], [0.317, 0.019, 0.634]]}

{"formula": "Rb2ZrTeAu", "functional": "PBE", "state": "optimized geometry", "m_tot_mub_per_cell": 2.643, "e_form_raw_ev_per_atom": 0.631, "energy_ev_per_cell": -13.75, "lattice": [[-6.398, 1.466, 2.677], [-2.257, -1.866, -4.372], [-0.269, -6.464, 2.897]], "species": ["Te", "Au", "Rb", "Rb", "Zr"], "frac_coords": [[0.000, 0.000, 0.000], [0.000, 0.500, 0.000], [0.000, 0.000, 0.500], [0.500, 0.000, 0.000], [0.500, 0.500, 0.500]]}

{"formula": "Rb2ZrTe6Au2", "functional": "PBE", "state": "optimized geometry", "m_tot_mub_per_cell": 0.000, "e_form_raw_ev_per_atom": -0.451, "energy_ev_per_cell": -40.85, "lattice": [[-1.359, -5.291, -5.980], [6.236, -1.070, 5.014], [-8.124, -1.605, 3.266]], "species": ["Rb", "Rb", "Zr", "Te", "Te", "Te", "Te", "Te", "Te", "Au", "Au"], "frac_coords": [[0.744, 0.488, 0.232], [0.256, 0.512, 0.768], [0.500, 0.000, 0.500], [0.736, 0.473, 0.769], [0.264, 0.966, 0.231], [0.298, 0.034, 0.769], [0.736, 0.034, 0.769], [0.702, 0.966, 0.231], [0.264, 0.527, 0.231], [0.909, 0.819, 0.725], [0.091, 0.181, 0.275]]}

{"formula": "RbZrTe4Au", "functional": "PBE", "state": "optimized geometry", "m_tot_mub_per_cell": 0.000, "e_form_raw_ev_per_atom": -0.576, "energy_ev_per_cell": -58.78, "lattice": [[7.399, 0.000, -0.504], [0.000, 6.263, 0.000], [-3.602, 0.000, 10.068]], "species": ["Rb", "Rb", "Zr", "Zr", "Te", "Te", "Te", "Te", "Te", "Te", "Te", "Te", "Au", "Au"], "frac_coords": [[0.799, 0.750, 0.948], [0.201, 0.250, 0.052], [0.722, 0.750, 0.434], [0.278, 0.250, 0.566], [0.028, 0.512, 0.679], [0.972, 0.012, 0.321], [0.972, 0.488, 0.321], [0.028, 0.988, 0.679], [0.464, 0.750, 0.137], [0.536, 0.250, 0.863], [0.440, 0.750, 0.577], [0.560, 0.250, 0.423], [0.271, 0.750, 0.296], [0.729, 0.250, 0.704]]}

{"formula": "RbThAu", "functional": "PBE", "state": "optimized geometry", "delta_e_f_ev_per_fu": 0.33, "m_tot_mub_per_cell": 0.001, "energy_ev_per_cell": -22.67, "lattice": [[3.786, 0.000, 0.000], [-1.893, 3.289, 0.000], [0.000, 0.000, 17.291]], "species": ["Au", "Au", "Th", "Th", "Rb", "Rb"], "frac_coords": [[0.440, 0.881, 0.000], [0.448, 0.896, 0.500], [0.781, 0.561, 0.375], [0.781, 0.561, 0.625], [0.108, 0.217, 0.854], [0.108, 0.217, 0.146]]}

{"formula": "RbTi3Au", "functional": "PBE", "state": "optimized geometry", "delta_e_f_ev_per_fu": 4.73, "m_tot_mub_per_cell": 0.000, "energy_ev_per_cell": -23.20, "de_polymorph_mev_per_atom": 0, "lattice": [[5.109, 0.000, 0.000], [0.000, 5.109, 0.000], [0.000, 0.000, 5.109]], "species": ["Au", "Rb", "Ti", "Ti", "Ti"], "frac_coords": [[0.000, 0.000, 0.000], [0.500, 0.500, 0.500], [0.000, 0.500, 0.000], [0.000, 0.000, 0.500], [0.500, 0.000, 0.000]]}